VASP calculation (PBE) on an optimized crystal structure of CuB3Os.

Properties
Symmetry ... Pm-3m

```
CuB3Os
1.0
3.737 0.000 0.000
0.000 3.737 0.000
0.000 0.000 3.737
B Os Cu
3 1 1
Direct
0.000 0.000 0.500 B
0.500 0.000 0.000 B
0.000 0.500 0.000 B
0.500 0.500 0.500 Os
0.000 0.000 0.000 Cu
```

***

VASP calculation (PBE) on an optimized crystal structure of CuB2Os.

Properties
Symmetry ... Fm-3m

```
CuB2Os
1.0
0.000 2.685 2.685
2.685 0.000 2.685
2.685 2.685 0.000
Cu B Os
1 2 1
Direct
0.000 0.000 0.000 Cu
0.250 0.250 0.250 B
0.750 0.750 0.750 B
0.500 0.500 0.500 Os
```

***

VASP calculation (PBE) on an optimized crystal structure of CuB3Os.

Properties
Symmetry ... Pm-3m

```
CuB3Os
1.0
-0.981 3.883 -0.721
0.712 -0.557 -3.967
-3.884 -1.082 -0.545
B Os Cu
3 1 1
Direct
0.500 0.000 0.000 B
0.000 0.500 0.000 B
0.000 0.000 0.500 B
0.000 0.000 0.000 Os
0.500 0.500 0.500 Cu
```

***

VASP calculation (PBE) on an optimized crystal structure of CuB2Os.

Properties
Symmetry ... I-42d

```
CuB2Os
1.0
4.728 0.000 0.000
0.000 4.728 0.000
2.364 2.364 4.706
Cu B Os
2 4 2
Direct
0.500 0.500 0.000 Cu
0.250 0.750 0.500 Cu
0.375 0.358 0.750 B
0.875 0.892 0.750 B
0.642 0.125 0.250 B
0.108 0.625 0.250 B
0.750 0.250 0.500 Os
0.000 0.000 0.000 Os
```

***

VASP calculation (PBE) on an optimized crystal structure of CuBPOsS.

Properties
Formation energy (no corrections) ... 0.08 eV/atom
Symmetry ... Cm

```
CuBPOsS
1.0
-0.824 -4.184 4.656
-0.202 -2.256 -2.063
7.413 -0.066 -0.654
S P B Cu Os
2 2 2 2 2
Direct
0.584 0.000 0.088 S
0.584 0.500 0.588 S
0.096 0.000 0.714 P
0.096 0.500 0.214 P
0.849 0.000 0.257 B
0.849 0.500 0.757 B
0.464 0.500 0.276 Cu
0.464 0.000 0.776 Cu
0.929 0.500 0.475 Os
0.929 0.000 0.975 Os
```

***

VASP calculation (PBE) on an optimized crystal structure of CuBPOsS.

Properties
Formation energy (no corrections) ... 0.00 eV/atom
Symmetry ... P1

```
CuBPOsS
1.0
-2.103 1.345 -1.712
-3.802 -0.206 1.842
0.373 7.010 2.431
B S P Os Cu
1 1 1 1 1
Direct
0.822 0.539 0.037 B
0.367 0.599 0.883 S
0.348 0.141 0.386 P
0.672 0.559 0.324 Os
0.054 0.994 0.122 Cu
```

***

no.,relative energy among the computed polymorphs (eV per atom)
1,0.788
2,0.000
3,0.000
4,0.121
5,0.103
6,0.018